(1)
Below is a relaxed structure of Li2NpCu2S4, with properties calculated at the PBE-GGA level.

SG: C2/m
Magnetization (μB per formula unit): 3.00
E (eV/atom): -5.549
E_form (uncorrected) (kcal/mol of atoms): -21.712

Unit cell a=3.7691 b=7.4051 c=7.3384 alpha=121.69 beta=104.88 gamma=90.00
With the nearest neighbours (Å) after each atom.
Sites, in units of the cell vectors:
Li  0.1423  0.5573  0.2845  4 S 2.57-2.66
Li  0.8577  0.4427  0.7155  4 S 2.57-2.66
Np  0.0000  0.0000  0.0000  6 S 2.69-2.70
Cu  0.6757  0.9689  0.3514  4 S 2.30-2.40
Cu  0.3243  0.0311  0.6486  4 S 2.30-2.40
S  0.2252  0.2052  0.4503  3 Cu 2.37-2.40, 2 Li 2.57
S  0.7748  0.7948  0.5497  3 Cu 2.37-2.40, 2 Li 2.57
S  0.4847  0.7246  0.9695  1 Cu 2.30
S  0.5153  0.2754  0.0305  1 Cu 2.30



(2)
Below is a relaxed structure of Li2Ga3Ag6, with properties calculated at the PBE-GGA level.

SG: P-1
Magnetization (μB per formula unit): 0.00
E (eV/atom): -2.805
Calculated formation energy (eV per atom): -0.076

Unit cell a=5.6242 b=5.3713 c=12.0217 alpha=51.99 beta=68.01 gamma=106.16
With the nearest neighbours (Å) after each atom.
Sites, in units of the cell vectors:
Li  0.4217  0.3591  0.1592  2 Ga 2.66-2.68, 5 Ag 2.67-2.89, 1 Li 2.70
Li  0.5783  0.6409  0.8408  2 Ga 2.66-2.68, 5 Ag 2.67-2.89, 1 Li 2.70
Ga  0.0000  0.0000  0.0000  2 Li 2.66, 4 Ag 2.72-2.79
Ga  0.7967  0.5351  0.4533  6 Ag 2.66-2.94, 1 Li 2.68, 2 Ga 2.92
Ga  0.2033  0.4649  0.5467  6 Ag 2.66-2.94, 1 Li 2.68, 2 Ga 2.92
Ag  0.1121  0.7382  0.8168  3 Ga 2.73-2.84, 2 Li 2.77-2.89, 3 Ag 2.78-2.95
Ag  0.6029  0.1669  0.8246  2 Ga 2.66-2.72, 2 Li 2.67-2.71, 3 Ag 2.87-2.95
Ag  0.8879  0.2618  0.1832  3 Ga 2.73-2.84, 2 Li 2.77-2.89, 3 Ag 2.78-2.95
Ag  0.3970  0.8331  0.1754  2 Ga 2.66-2.72, 2 Li 2.67-2.71, 3 Ag 2.87-2.95
Ag  0.6872  0.8858  0.5383  1 Li 2.71, 3 Ga 2.74-2.94, 5 Ag 2.84-3.03
Ag  0.3128  0.1142  0.4617  1 Li 2.71, 3 Ga 2.74-2.94, 5 Ag 2.84-3.03



(3)
Below is a relaxed structure of RhAuBr2, with properties calculated at the PBE-GGA level.

SG: Cmm2
Relative energy among the computed polymorphs (eV per formula unit): 0.92
Magnetization (μB per formula unit): 1.25
E (eV/atom): -3.239
E_form (uncorrected) (kcal/mol of atoms): 5.861

Unit cell a=3.5898 b=3.5898 c=8.1864 alpha=90.00 beta=90.00 gamma=112.90
With the nearest neighbours (Å) after each atom.
Sites, in units of the cell vectors:
Rh  0.0000  0.0000  0.5105  2 Br 2.48, 2 Au 2.66
Au  0.5000  0.5000  0.7265  2 Br 2.61, 2 Rh 2.66
Br  0.0000  0.0000  0.9337  2 Au 2.61
Br  0.5000  0.5000  0.3293  2 Rh 2.48



(4)
Below is a relaxed structure of Pr2Be4CuPt3, with properties calculated at the PBE-GGA level.

SG: P-4m2
Magnetization (μB per formula unit): 0.00
E (eV/atom): -5.325
Calculated formation energy (eV per atom): -0.657

Unit cell a=4.0841 b=4.0841 c=9.6403 alpha=90.00 beta=90.00 gamma=90.00
With the nearest neighbours (Å) after each atom.
Sites, in units of the cell vectors:
Pr  0.5000  0.0000  0.2504  6 Pt 3.14-3.16, 8 Be 3.15-3.16, 2 Cu 3.16
Pr  0.0000  0.5000  0.7496  6 Pt 3.14-3.16, 8 Be 3.15-3.16, 2 Cu 3.16
Be  0.5000  0.5000  0.0000  4 Pt 2.36
Be  0.0000  0.0000  0.0000  4 Pt 2.36
Be  0.5000  0.0000  0.6192  2 Cu 2.34, 3 Pt 2.34-2.49
Be  0.0000  0.5000  0.3808  2 Cu 2.34, 3 Pt 2.34-2.49
Cu  0.5000  0.5000  0.5000  4 Be 2.34
Pt  0.0000  0.0000  0.5000  4 Be 2.34
Pt  0.5000  0.0000  0.8778  5 Be 2.36-2.49
Pt  0.0000  0.5000  0.1222  5 Be 2.36-2.49